Entry from Alexandria: an optimized crystal structure of Tb2Er4In (PBE).

Summary:
The value obtained for the formation energy is -0.2 eV per formula unit. For the density of states at the Fermi level, the calculation gives 18.02 states/eV per cell. For the volume, the calculation gives 421 Å³/cell. As for the size of the total moment: 0.00 μB/f.u. For the density, the calculation gives 8698 kg/m3. The calculation puts the final energy at -4.35 eV per atom.

CIF file:
```
data_Tb2Er4In
_cell_length_a 5.774
_cell_length_b 6.595
_cell_length_c 11.380
_cell_angle_alpha 90.00
_cell_angle_beta 103.90
_cell_angle_gamma 90.00
_space_group_name_H-M_alt 'P 1 21/m 1'
_space_group_IT_number 11
_space_group_name_Hall '-P 2yb'
loop_
_atom_site_label
_atom_site_type_symbol
_atom_site_fract_x
_atom_site_fract_y
_atom_site_fract_z
Tb1 Tb 0.056 0.250 0.479
Tb2 Tb 0.339 0.750 0.073
Er1 Er 0.158 0.007 0.787
Er2 Er 0.214 0.250 0.065
Er3 Er 0.379 0.750 0.372
In1 In 0.476 0.250 0.339
```

Entry from Alexandria: an optimized crystal structure of Tb2ErIn9 (PBE).

Summary:
The value obtained for the formation energy is -5.0 eV per formula unit. For the density of states at the Fermi level, the calculation gives 4.29 states/eV per cell. For the volume, the calculation gives 299 Å³/cell. As for the size of the total moment: 0.00 μB/f.u. For the density, the calculation gives 8429 kg/m3. The calculation puts the final energy at -3.62 eV per atom.

CIF file:
```
data_Tb2ErIn9
_cell_length_a 4.639
_cell_length_b 4.639
_cell_length_c 13.903
_cell_angle_alpha 90.00
_cell_angle_beta 90.00
_cell_angle_gamma 90.00
_space_group_name_H-M_alt 'P 4/m m m'
_space_group_IT_number 123
_space_group_name_Hall '-P 4 2'
loop_
_atom_site_label
_atom_site_type_symbol
_atom_site_fract_x
_atom_site_fract_y
_atom_site_fract_z
Tb1 Tb 0.000 0.000 0.167
Er1 Er 0.000 0.000 0.500
In1 In 0.000 0.500 0.000
In2 In 0.000 0.500 0.335
In3 In 0.500 0.500 0.167
In4 In 0.500 0.500 0.500
```

Entry from Alexandria: an optimized crystal structure of Tb9Er2In (PBE).

Summary:
The value obtained for the formation energy is -0.8 eV per formula unit. For the density of states at the Fermi level, the calculation gives 15.06 states/eV per cell. For the volume, the calculation gives 369 Å³/cell. As for the size of the total moment: 0.00 μB/f.u. For the density, the calculation gives 8463 kg/m3. The calculation puts the final energy at -4.53 eV per atom.

CIF file:
```
data_Tb9Er2In
_cell_length_a 4.944
_cell_length_b 4.944
_cell_length_c 15.089
_cell_angle_alpha 90.00
_cell_angle_beta 90.00
_cell_angle_gamma 90.00
_space_group_name_H-M_alt 'P 4/m m m'
_space_group_IT_number 123
_space_group_name_Hall '-P 4 2'
loop_
_atom_site_label
_atom_site_type_symbol
_atom_site_fract_x
_atom_site_fract_y
_atom_site_fract_z
Tb1 Tb 0.000 0.000 0.000
Tb2 Tb 0.000 0.000 0.329
Tb3 Tb 0.000 0.500 0.162
Tb4 Tb 0.000 0.500 0.500
Er1 Er 0.500 0.500 0.332
In1 In 0.500 0.500 0.000
```

Entry from Alexandria: an optimized crystal structure of Tb7ErIn2 (PBE).

Summary:
The value obtained for the formation energy is 3.5 eV per formula unit. For the density of states at the Fermi level, the calculation gives 40.68 states/eV per cell. For the volume, the calculation gives 763 Å³/cell. As for the size of the total moment: 0.00 μB/f.u. For the density, the calculation gives 6566 kg/m3. The calculation puts the final energy at -3.90 eV per atom.

CIF file:
```
data_Tb7ErIn2
_cell_length_a 9.156
_cell_length_b 15.601
_cell_length_c 5.345
_cell_angle_alpha 90.00
_cell_angle_beta 90.00
_cell_angle_gamma 90.00
_space_group_name_H-M_alt 'C m m m'
_space_group_IT_number 65
_space_group_name_Hall '-C 2 2'
loop_
_atom_site_label
_atom_site_type_symbol
_atom_site_fract_x
_atom_site_fract_y
_atom_site_fract_z
Tb1 Tb 0.000 0.000 0.000
Tb2 Tb 0.000 0.276 0.500
Tb3 Tb 0.181 0.380 0.000
Er1 Er 0.000 0.500 0.500
In1 In 0.000 0.196 0.000
```

Entry from Alexandria: an optimized crystal structure of Tb2Er7In (PBE).

Summary:
The value obtained for the formation energy is 6.0 eV per formula unit. For the density of states at the Fermi level, the calculation gives 19.15 states/eV per cell. For the volume, the calculation gives 734 Å³/cell. As for the size of the total moment: 0.00 μB/f.u. For the density, the calculation gives 7259 kg/m3. The calculation puts the final energy at -3.79 eV per atom.

CIF file:
```
data_Tb2Er7In
_cell_length_a 8.613
_cell_length_b 16.286
_cell_length_c 5.230
_cell_angle_alpha 90.00
_cell_angle_beta 90.00
_cell_angle_gamma 90.00
_space_group_name_H-M_alt 'C m m m'
_space_group_IT_number 65
_space_group_name_Hall '-C 2 2'
loop_
_atom_site_label
_atom_site_type_symbol
_atom_site_fract_x
_atom_site_fract_y
_atom_site_fract_z
Tb1 Tb 0.000 0.207 0.000
Er1 Er 0.000 0.000 0.000
Er2 Er 0.000 0.302 0.500
Er3 Er 0.177 0.395 0.000
In1 In 0.000 0.500 0.500
```

Entry from Alexandria: an optimized crystal structure of Tb12ErIn6 (PBE).

Summary:
The value obtained for the formation energy is -4.1 eV per formula unit. For the density of states at the Fermi level, the calculation gives 64.07 states/eV per cell. For the volume, the calculation gives 1648 Å³/cell. As for the size of the total moment: 0.00 μB/f.u. For the density, the calculation gives 8352 kg/m3. The calculation puts the final energy at -4.24 eV per atom.

CIF file:
```
data_Tb12ErIn6
_cell_length_a 11.4549
_cell_length_b 11.4549
_cell_length_c 14.5043
_cell_angle_alpha 90.00
_cell_angle_beta 90.00
_cell_angle_gamma 120.00
_space_group_name_H-M_alt 'R -3'
_space_group_IT_number 148
_space_group_name_Hall '-R 3'
loop_
_atom_site_label
_atom_site_type_symbol
_atom_site_fract_x
_atom_site_fract_y
_atom_site_fract_z
Tb1 Tb 0.0633 0.2167 0.4099
Tb2 Tb 0.0700 0.8815 0.8047
Er1 Er 0.0000 0.0000 0.0000
In1 In 0.0297 0.5910 0.7149
```

Entry from Alexandria: an optimized crystal structure of Tb2Er3In7 (PBE).

Summary:
The value obtained for the formation energy is -2.2 eV per formula unit. For the density of states at the Fermi level, the calculation gives 19.65 states/eV per cell. For the volume, the calculation gives 691 Å³/cell. As for the size of the total moment: 0.00 μB/f.u. For the density, the calculation gives 7798 kg/m3. The calculation puts the final energy at -3.70 eV per atom.

CIF file:
```
data_Tb2Er3In7
_cell_length_a 5.108
_cell_length_b 25.730
_cell_length_c 5.260
_cell_angle_alpha 90.00
_cell_angle_beta 90.00
_cell_angle_gamma 90.00
_space_group_name_H-M_alt 'C m m m'
_space_group_IT_number 65
_space_group_name_Hall '-C 2 2'
loop_
_atom_site_label
_atom_site_type_symbol
_atom_site_fract_x
_atom_site_fract_y
_atom_site_fract_z
Tb1 Tb 0.000 0.149 0.000
Er1 Er 0.000 0.350 0.500
Er2 Er 0.000 0.500 0.500
In1 In 0.000 0.000 0.000
In2 In 0.000 0.077 0.500
In3 In 0.000 0.278 0.000
In4 In 0.000 0.427 0.000
```

Entry from Alexandria: an optimized crystal structure of TbEr4In3 (PBE).

Summary:
The value obtained for the formation energy is -1.6 eV per formula unit. For the density of states at the Fermi level, the calculation gives 16.41 states/eV per cell. For the volume, the calculation gives 459 Å³/cell. As for the size of the total moment: 0.57 μB/f.u. For the density, the calculation gives 8482 kg/m3. The calculation puts the final energy at -4.09 eV per atom.

CIF file:
```
data_TbEr4In3
_cell_length_a 3.468
_cell_length_b 8.773
_cell_length_c 15.089
_cell_angle_alpha 90.00
_cell_angle_beta 90.00
_cell_angle_gamma 90.00
_space_group_name_H-M_alt 'I m m m'
_space_group_IT_number 71
_space_group_name_Hall '-I 2 2'
loop_
_atom_site_label
_atom_site_type_symbol
_atom_site_fract_x
_atom_site_fract_y
_atom_site_fract_z
Tb1 Tb 0.000 0.000 0.000
Er1 Er 0.000 0.302 0.141
In1 In 0.000 0.000 0.500
In2 In 0.000 0.500 0.315
```

Question: The highest size of the total moment belongs to which entry?
Answer: TbEr4In3